Entry 1:
Material: Ce8Sn4H
Method: DFT, PBE
State: optimized geometry

Properties
calculated total energy: -0.413 Ry per atom
total magnetization: 7.88 Bohr magnetons per cell
space-group type: Pmm2, No. 25

Lattice parameters (Å, degrees): 4.445 4.682 16.271 90.00 90.00 90.00
Fractional coordinates of all 13 atoms:
Ce (0.000, 0.000, 0.000)
Ce (0.000, 0.000, 0.308)
Ce (0.000, 0.500, 0.189)
Ce (0.000, 0.500, 0.502)
Ce (0.500, 0.000, 0.501)
Ce (0.500, 0.000, 0.812)
Ce (0.500, 0.500, 0.001)
Ce (0.500, 0.500, 0.690)
Sn (0.000, 0.000, 0.651)
Sn (0.000, 0.500, 0.853)
Sn (0.500, 0.000, 0.148)
Sn (0.500, 0.500, 0.353)
H (0.000, 0.000, 0.453)


Entry 2:
Material: BaAlCu2Pd
Method: DFT, PBE
State: optimized geometry

Properties
calculated total energy: -0.285 Ry per atom
total magnetization: 0.00 Bohr magnetons per cell
space-group type: P4/mmm, No. 123
energy of formation: -0.072 eV per atom

Lattice parameters (Å, degrees): 5.015 5.015 4.648 90.00 90.00 90.00
Fractional coordinates of all 5 atoms:
Ba (0.000, 0.000, 0.000)
Al (0.500, 0.500, 0.000)
Cu (0.000, 0.500, 0.500)
Cu (0.500, 0.000, 0.500)
Pd (0.500, 0.500, 0.500)


Entry 3:
Material: La4CuGe
Method: DFT, PBE
State: optimized geometry

Properties
calculated total energy: -0.364 Ry per atom
total magnetization: 0.00 Bohr magnetons per cell
space-group type: P2_1/c, No. 14
energy of formation: -0.219 eV per atom
energy above the most stable polymorph in this dataset: 50 meV/atom

Lattice parameters (Å, degrees): 7.398 7.245 7.392 90.00 90.20 90.00
Fractional coordinates of all 12 atoms:
La (0.154, 0.157, 0.162)
La (0.154, 0.343, 0.662)
La (0.339, 0.656, 0.156)
La (0.339, 0.844, 0.656)
La (0.661, 0.156, 0.344)
La (0.661, 0.344, 0.844)
La (0.846, 0.657, 0.338)
La (0.846, 0.843, 0.838)
Cu (0.000, 0.000, 0.500)
Cu (0.000, 0.500, 0.000)
Ge (0.500, 0.000, 0.000)
Ge (0.500, 0.500, 0.500)


Entry 4:
Material: Pm6Pr2Er
Method: DFT, PBE
State: optimized geometry

Properties
calculated total energy: -0.332 Ry per atom
total magnetization: 0.00 Bohr magnetons per cell
space-group type: C2/c, No. 15
energy of formation: 0.216 eV per atom
energy above the most stable polymorph in this dataset: 37 meV/atom

Lattice parameters (Å, degrees): 10.076 10.076 6.387 99.68 99.68 96.40
Fractional coordinates of all 18 atoms:
Pm (0.068, 0.816, 0.982)
Pm (0.078, 0.518, 0.274)
Pm (0.184, 0.932, 0.518)
Pm (0.348, 0.440, 0.063)
Pm (0.440, 0.348, 0.563)
Pm (0.482, 0.922, 0.226)
Pm (0.518, 0.078, 0.774)
Pm (0.560, 0.652, 0.437)
Pm (0.652, 0.560, 0.937)
Pm (0.816, 0.068, 0.482)
Pm (0.922, 0.482, 0.726)
Pm (0.932, 0.184, 0.018)
Pr (0.129, 0.270, 0.603)
Pr (0.270, 0.129, 0.103)
Pr (0.730, 0.871, 0.897)
Pr (0.871, 0.730, 0.397)
Er (0.326, 0.674, 0.750)
Er (0.674, 0.326, 0.250)


Entry 5:
Material: PrZrI2
Method: DFT, PBE
State: optimized geometry

Properties
calculated total energy: -0.332 Ry per atom
total magnetization: 0.00 Bohr magnetons per cell
space-group type: R-3m, No. 166
formation energy (no corrections): -0.411 eV/atom

Lattice parameters (Å, degrees): 10.878 10.878 10.878 19.52 19.52 19.52
Fractional coordinates of all 4 atoms:
Pr (0.000, 0.000, 0.000)
Zr (0.500, 0.500, 0.500)
I (0.102, 0.102, 0.102)
I (0.898, 0.898, 0.898)


Entry 6:
Material: PrIn2GaI6
Method: DFT, PBE
State: optimized geometry

Properties
calculated total energy: -0.226 Ry per atom
total magnetization: 0.00 Bohr magnetons per cell
space-group type: P1, No. 1
formation energy (no corrections): -0.810 eV/atom

Lattice parameters (Å, degrees): 8.530 8.536 8.900 90.03 118.62 119.97
Fractional coordinates of all 10 atoms:
Pr (0.000, 0.000, 0.000)
In (0.604, 0.802, 0.406)
In (0.615, 0.308, 0.922)
Ga (0.010, 0.505, 0.516)
I (0.096, 0.741, 0.227)
I (0.098, 0.880, 0.733)
I (0.485, 0.355, 0.227)
I (0.515, 0.636, 0.733)
I (0.853, 0.218, 0.733)
I (0.871, 0.130, 0.226)


Entry 7:
Material: CsRuN2
Method: DFT, PBE
State: optimized geometry

Properties
calculated total energy: -0.482 Ry per atom
total magnetization: 0.00 Bohr magnetons per cell
space-group type: I-42d, No. 122
formation energy (no corrections): 0.131 eV/atom
energy above the most stable polymorph in this dataset: 0 meV/atom

Lattice parameters (Å, degrees): 6.089 6.089 6.089 120.11 120.11 89.81
Fractional coordinates of all 8 atoms:
Cs (0.000, 0.000, 0.000)
Cs (0.750, 0.250, 0.500)
Ru (0.250, 0.750, 0.500)
Ru (0.500, 0.500, 0.000)
N (0.341, 0.625, 0.216)
N (0.375, 0.591, 0.716)
N (0.409, 0.125, 0.784)
N (0.875, 0.659, 0.284)


Entry 8:
Material: CrNi2Ir
Method: DFT, PBE
State: optimized geometry

Properties
calculated total energy: -0.551 Ry per atom
total magnetization: 2.22 Bohr magnetons per cell
space-group type: Cmmm, No. 65
energy of formation: 0.022 eV per atom

Lattice parameters (Å, degrees): 4.432 4.432 2.645 90.00 90.00 109.65
Fractional coordinates of all 4 atoms:
Cr (0.000, 0.000, 0.000)
Ni (0.000, 0.500, 0.500)
Ni (0.500, 0.000, 0.500)
Ir (0.500, 0.500, 0.000)


Entry 9:
Material: KZrB2
Method: DFT, PBE
State: optimized geometry

Properties
calculated total energy: -0.328 Ry per atom
total magnetization: 0.00 Bohr magnetons per cell
space-group type: I4_1/amd, No. 141
energy of formation: 1.290 eV per atom
energy above the most stable polymorph in this dataset: 0 meV/atom

Lattice parameters (Å, degrees): 8.488 8.488 8.488 144.89 144.89 50.50
Fractional coordinates of all 8 atoms:
K (0.375, 0.625, 0.750)
K (0.625, 0.375, 0.250)
Zr (0.125, 0.875, 0.250)
Zr (0.875, 0.125, 0.750)
B (0.000, 0.000, 0.000)
B (0.000, 0.000, 0.500)
B (0.000, 0.500, 0.000)
B (0.500, 0.000, 0.500)


Entry 10:
Material: Zn2CoRe
Method: DFT, PBE
State: optimized geometry

Properties
calculated total energy: -0.387 Ry per atom
total magnetization: 1.68 Bohr magnetons per cell
space-group type: Pmmm, No. 47
energy of formation: 0.261 eV per atom
energy above the most stable polymorph in this dataset: 243 meV/atom

Lattice parameters (Å, degrees): 2.589 3.970 5.263 90.00 90.00 90.00
Fractional coordinates of all 4 atoms:
Zn (0.000, 0.000, 0.241)
Zn (0.000, 0.000, 0.759)
Co (0.500, 0.500, 0.000)
Re (0.500, 0.500, 0.500)


Entry 11:
Material: Nd3CSeCl
Method: DFT, PBE
State: optimized geometry

Properties
calculated total energy: -0.433 Ry per atom
total magnetization: 1.85 Bohr magnetons per cell
space-group type: P2_1/m, No. 11
formation energy (no corrections): -1.079 eV/atom

Lattice parameters (Å, degrees): 8.139 3.978 10.474 90.00 94.09 90.00
Fractional coordinates of all 12 atoms:
Nd (0.097, 0.250, 0.383)
Nd (0.129, 0.250, 0.865)
Nd (0.353, 0.750, 0.630)
Nd (0.647, 0.250, 0.370)
Nd (0.871, 0.750, 0.135)
Nd (0.903, 0.750, 0.617)
C (0.133, 0.250, 0.634)
C (0.867, 0.750, 0.366)
Se (0.365, 0.750, 0.345)
Se (0.635, 0.250, 0.655)
Cl (0.371, 0.750, 0.906)
Cl (0.629, 0.250, 0.094)


Entry 12:
Material: LaC2IO6
Method: DFT, PBE
State: optimized geometry

Properties
calculated total energy: -0.532 Ry per atom
total magnetization: 0.00 Bohr magnetons per cell
space-group type: C2/c, No. 15
formation energy (no corrections): -1.769 eV/atom

Lattice parameters (Å, degrees): 6.820 6.820 7.988 112.96 112.96 89.28
Fractional coordinates of all 20 atoms:
La (0.078, 0.922, 0.750)
La (0.922, 0.078, 0.250)
C (0.115, 0.396, 0.778)
C (0.396, 0.115, 0.278)
C (0.604, 0.885, 0.722)
C (0.885, 0.604, 0.222)
I (0.398, 0.602, 0.250)
I (0.602, 0.398, 0.750)
O (0.041, 0.217, 0.616)
O (0.114, 0.582, 0.780)
O (0.188, 0.359, 0.942)
O (0.217, 0.041, 0.116)
O (0.359, 0.188, 0.442)
O (0.418, 0.886, 0.720)
O (0.582, 0.114, 0.280)
O (0.641, 0.812, 0.558)
O (0.783, 0.959, 0.884)
O (0.812, 0.641, 0.058)
O (0.886, 0.418, 0.220)
O (0.959, 0.783, 0.384)